No. 1
This record from Alexandria via LeMat-Bulk describes a PBEsol-optimized structure of TlCd3Se. The functional is SCAN.

Unit cell a=5.330 b=5.330 c=5.330 alpha=90.00 beta=90.00 gamma=90.00
Fractional positions:
Tl 0.000 0.000 0.000
Cd 0.000 0.000 0.500
Cd 0.000 0.500 0.000
Cd 0.500 0.000 0.000
Se 0.500 0.500 0.500

Values from the calculation:
The calculation puts the total magnetization at 1.0 μB per cell. The uncorrected formation energy is 2.02 eV per formula unit.



No. 2
This record from Alexandria via LeMat-Bulk describes a PBEsol-optimized structure of ZnPRu2. The functional is SCAN.

Unit cell a=2.877 b=2.877 c=6.079 alpha=90.00 beta=90.00 gamma=90.00
Fractional positions:
Zn 0.000 0.000 0.000
P 0.000 0.000 0.500
Ru 0.500 0.500 0.276
Ru 0.500 0.500 0.724

Values from the calculation:
The calculation puts the total magnetization at 0.0 μB per cell. Its energy above the lowest structure with this stoichiometry is 0.0 meV per atom. Its formation energy is -0.290 eV/atom.



No. 3
This record from Alexandria via LeMat-Bulk describes a PBEsol-optimized structure of TlReSb2. The functional is SCAN.

Unit cell a=4.879 b=4.879 c=7.092 alpha=90.00 beta=90.00 gamma=90.00
Fractional positions:
Tl 0.000 0.000 0.000
Tl 0.500 0.500 0.500
Re 0.000 0.000 0.500
Re 0.500 0.500 0.000
Sb 0.000 0.500 0.250
Sb 0.000 0.500 0.750
Sb 0.500 0.000 0.250
Sb 0.500 0.000 0.750

Values from the calculation:
The calculation puts the total magnetization at 0.0 μB per cell. The uncorrected formation energy is 3.68 eV per formula unit. Its energy above the lowest structure with this stoichiometry is 556.0 meV per atom.



Number 1: calculated total energy -36.3321 eV per atom, calculated density 6.81 Mg/m³. Number 2: calculated total energy -23.6813 eV per atom, calculated density 9.85 Mg/m³. Number 3: calculated total energy -53.5735 eV per atom, calculated density 12.47 Mg/m³.